Entry 1:
Below is a relaxed structure of HfGe3Os, with properties calculated at the PBE level.

Summary:
- electronic total energy (eV for the cell shown) = -27.1

Cell: 5.055 5.055 5.055 Å, 90.00 90.00 90.00°
Sites, in units of the cell vectors:
Os (0.500, 0.500, 0.500)
Ge (0.000, 0.500, 0.000)
Hf (0.000, 0.000, 0.000)
Ge (0.000, 0.000, 0.500)
Ge (0.500, 0.000, 0.000)

=====

Entry 2:
Below is a relaxed structure of HoTm5ThIn2, with properties calculated at the PBE level.

Summary:
- electronic total energy (eV for the cell shown) = -79.1

Cell: 7.539 7.539 11.009 Å, 110.02 110.02 90.00°
Sites, in units of the cell vectors:
In (0.376, 0.876, 0.000)
Tm (0.500, 0.500, 0.000)
Th (0.750, 0.750, 0.500)
Tm (0.580, 0.672, 0.752)
In (0.876, 0.624, 0.000)
Ho (0.250, 0.750, 0.500)
In (0.124, 0.376, 0.000)
Tm (0.920, 0.420, 0.248)
In (0.624, 0.124, 0.000)
Tm (0.172, 0.080, 0.752)
Tm (0.328, 0.828, 0.248)
Tm (0.000, 0.000, 0.000)
Ho (0.750, 0.250, 0.500)
Tm (0.672, 0.172, 0.752)
Tm (0.828, 0.920, 0.248)
Tm (0.420, 0.328, 0.248)
Th (0.250, 0.250, 0.500)
Tm (0.080, 0.580, 0.752)

=====

Entry 3:
Below is a relaxed structure of NbFe2B, with properties calculated at the PBE level.

Summary:
- electronic total energy (eV for the cell shown) = -70.5

Cell: 3.137 4.634 6.524 Å, 90.00 90.00 109.79°
Sites, in units of the cell vectors:
Fe (0.650, 0.300, 0.057)
Nb (0.056, 0.111, 0.750)
B (0.231, 0.463, 0.250)
Fe (0.350, 0.700, 0.557)
B (0.769, 0.537, 0.750)
Fe (0.650, 0.300, 0.443)
Nb (0.944, 0.889, 0.250)
Fe (0.350, 0.700, 0.943)